! Rb4Na3Cd2, relaxed, DFT PBE; values from VASP
! Energy of formation, eV per atom: -0.0084
! Fermi-level density of states, states/eV/f.u.: 5.75
&SYSTEM
  ibrav = 0, nat = 9, ntyp = 3
/
ATOMIC_SPECIES
Rb 85.47 Rb.upf
Na 22.99 Na.upf
Cd 112.41 Cd.upf
ATOMIC_POSITIONS angstrom
Rb 0.706 6.127 2.560
Rb 3.680 2.843 3.639
Rb 2.253 7.844 -1.535
Rb 2.132 1.126 7.734
Na 0.314 2.076 1.139
Na 4.072 6.894 5.060
Na -0.394 4.540 -1.429
Cd 1.752 4.910 6.353
Cd 2.634 4.060 -0.154
CELL_PARAMETERS angstrom
4.975 0.000 -1.372
-0.788 9.079 -2.859
0.199 -0.109 10.429